# 1
This record from Alexandria via LeMat-Bulk describes CaMnC2 after structural relaxation. The functional is GGA-PBEsol.

Results
DOS(E_F) (states/eV/cell): 5.10
Symmetry: No. 141
Total energy (eV/atom): -7.588
Formation enthalpy at 0 K (meV/atom): 208

a = 6.4052 Å, b = 6.4052 Å, c = 6.4052 Å
α = 139.98°, β = 139.98°, γ = 57.88°
Closest atoms and distances in Å follow each position.
Fractional coordinates of all 8 atoms:
Ca1 0.3750 0.6250 0.7500  8 C 2.82, 4 Mn 3.10
Ca2 0.6250 0.3750 0.2500  8 C 2.82, 4 Mn 3.10
Mn1 0.1250 0.8750 0.2500  4 C 1.78
Mn2 0.8750 0.1250 0.7500  4 C 1.78
C1 0.0000 0.0000 0.0000  2 Mn 1.78
C2 0.0000 0.0000 0.5000  2 Mn 1.78
C3 0.0000 0.5000 0.0000  2 Mn 1.78
C4 0.5000 0.0000 0.5000  2 Mn 1.78


# 2
This record from Alexandria via LeMat-Bulk describes ZrAsBr3 after structural relaxation. The functional is GGA-PBEsol.

Results
E_form (uncorrected) (eV per atom): 0.464
DOS(E_F) (states/eV/cell): 8.16
Symmetry: No. 221
Total energy (eV/atom): -3.497

a = 5.2208 Å, b = 5.2208 Å, c = 5.2208 Å
α = 90.00°, β = 90.00°, γ = 90.00°
Closest atoms and distances in Å follow each position.
Fractional coordinates of all 5 atoms:
Zr1 0.0000 0.0000 0.0000  12 Br 3.69
As1 0.5000 0.5000 0.5000  6 Br 2.61
Br1 0.0000 0.5000 0.5000  2 As 2.61
Br2 0.5000 0.0000 0.5000  2 As 2.61
Br3 0.5000 0.5000 0.0000  2 As 2.61


# 3
This record from Alexandria via LeMat-Bulk describes AsRuBr after structural relaxation. The functional is GGA-PBEsol.

Results
E_form (uncorrected) (eV per atom): -0.011
Symmetry: No. 156
Total energy (eV/atom): -5.727

a = 3.7176 Å, b = 3.7176 Å, c = 5.4974 Å
α = 90.00°, β = 90.00°, γ = 120.00°
Closest atoms and distances in Å follow each position.
Fractional coordinates of all 3 atoms:
As1 0.0000 0.0000 0.0000  3 Ru 2.32
Ru1 0.6667 0.3333 0.1614  3 As 2.32
Br1 0.3333 0.6667 0.4641  3 Ru 2.72


# 4
This record from Alexandria via LeMat-Bulk describes CoNi2Rh after structural relaxation. The functional is GGA-PBEsol.

Results
DOS(E_F) (states/eV/cell): 6.13
Symmetry: No. 160
Total energy (eV/atom): -6.977
Formation enthalpy at 0 K (meV/atom): 71
Distance to the lowest polymorph of the same formula (eV/atom): 0.034

a = 8.2641 Å, b = 8.2641 Å, c = 8.2641 Å
α = 17.72°, β = 17.72°, γ = 17.72°
Closest atoms and distances in Å follow each position.
Fractional coordinates of all 4 atoms:
Co1 0.0000 0.0000 0.0000  3 Ni 2.44, 6 Co 2.55, 3 Rh 2.56
Ni1 0.4939 0.4939 0.4939  9 Ni 2.46-2.55, 3 Rh 2.58
Ni2 0.7463 0.7463 0.7463  3 Co 2.44, 9 Ni 2.46-2.55
Rh1 0.2476 0.2476 0.2476  6 Rh 2.55, 3 Co 2.56, 3 Ni 2.58


# 5
This record from Alexandria via LeMat-Bulk describes TlMoRh2 after structural relaxation. The functional is GGA-PBEsol.

Results
DOS(E_F) (states/eV/cell): 3.95
Symmetry: No. 12
Total energy (eV/atom): -7.452
Formation enthalpy at 0 K (meV/atom): 216
Distance to the lowest polymorph of the same formula (eV/atom): 0.161

a = 4.7244 Å, b = 4.7244 Å, c = 5.0006 Å
α = 98.42°, β = 98.42°, γ = 34.86°
Closest atoms and distances in Å follow each position.
Fractional coordinates of all 4 atoms:
Tl1 0.0000 0.0000 0.0000  6 Rh 2.78-2.86, 2 Tl 2.83, 4 Mo 2.87
Mo1 0.5000 0.5000 0.5000  6 Rh 2.70-2.73, 2 Mo 2.83, 4 Tl 2.87
Rh1 0.2461 0.2461 0.7262  4 Rh 2.68-2.83, 3 Mo 2.70-2.73, 3 Tl 2.78-2.86
Rh2 0.7539 0.7539 0.2738  4 Rh 2.68-2.83, 3 Mo 2.70-2.73, 3 Tl 2.78-2.86


# 6
This record from Alexandria via LeMat-Bulk describes ZrAlSi2 after structural relaxation. The functional is GGA-PBEsol.

Results
E_form (uncorrected) (eV per atom): -0.139
DOS(E_F) (states/eV/cell): 1.58
Symmetry: No. 166
Total energy (eV/atom): -6.308

a = 8.3146 Å, b = 8.3146 Å, c = 8.3146 Å
α = 21.50°, β = 21.50°, γ = 21.50°
Closest atoms and distances in Å follow each position.
Fractional coordinates of all 4 atoms:
Zr1 0.0000 0.0000 0.0000  6 Si 2.80, 6 Zr 3.10
Al1 0.5000 0.5000 0.5000  6 Si 2.62
Si1 0.2451 0.2451 0.2451  3 Al 2.62, 3 Zr 2.80
Si2 0.7549 0.7549 0.7549  3 Al 2.62, 3 Zr 2.80


Q: The lowest total energy belongs to which entry?
A: CaMnC2


Q: Among the records above, which one has the highest total energy?
A: ZrAsBr3


Please write out number 2 again, unchanged.
This record from Alexandria via LeMat-Bulk describes ZrAsBr3 after structural relaxation. The functional is GGA-PBEsol.

Results
E_form (uncorrected) (eV per atom): 0.464
DOS(E_F) (states/eV/cell): 8.16
Symmetry: No. 221
Total energy (eV/atom): -3.497

a = 5.2208 Å, b = 5.2208 Å, c = 5.2208 Å
α = 90.00°, β = 90.00°, γ = 90.00°
Closest atoms and distances in Å follow each position.
Fractional coordinates of all 5 atoms:
Zr1 0.0000 0.0000 0.0000  12 Br 3.69
As1 0.5000 0.5000 0.5000  6 Br 2.61
Br1 0.0000 0.5000 0.5000  2 As 2.61
Br2 0.5000 0.0000 0.5000  2 As 2.61
Br3 0.5000 0.5000 0.0000  2 As 2.61